[1]
DFT (PBE) results for an optimized crystal structure of YBeCdPt2.

Lattice parameters (Å, degrees): 4.4831 4.4831 4.4884 90.00 90.00 90.00
Fractional positions:
1 Y 0.0000 0.0000 0.0000
2 Be 0.5000 0.5000 0.5000
3 Cd 0.5000 0.5000 0.0000
4 Pt 0.0000 0.5000 0.5000
5 Pt 0.5000 0.0000 0.5000

Output
SG = No. 123
formation energy from the elements = -514 meV/atom


[2]
DFT (PBE) results for an optimized crystal structure of CuTcPt2.

Lattice parameters (Å, degrees): 4.7782 4.7782 2.7138 90.00 90.00 110.14
Fractional positions:
1 Cu 0.0000 0.0000 0.0000
2 Tc 0.5000 0.5000 0.0000
3 Pt 0.0000 0.5000 0.5000
4 Pt 0.5000 0.0000 0.5000

Output
SG = No. 65
formation energy from the elements = -64 meV/atom
offset from the most stable computed form = 0.124 eV/atom


[3]
DFT (PBE) results for an optimized crystal structure of CrCu2As.

Lattice parameters (Å, degrees): 2.8938 4.1801 4.8482 90.00 103.67 90.00
Fractional positions:
1 Cr 0.0000 0.0000 0.0000
2 Cu 0.4012 0.5000 0.7482
3 Cu 0.5988 0.5000 0.2518
4 As 0.5000 0.0000 0.5000

Output
SG = No. 10
formation energy from the elements = 195 meV/atom


[4]
DFT (PBE) results for an optimized crystal structure of BaNa2SiH.

Lattice parameters (Å, degrees): 4.7781 4.7781 5.5073 90.00 90.00 90.00
Fractional positions:
1 Ba 0.0000 0.0000 0.0000
2 Na 0.0000 0.5000 0.5000
3 Na 0.5000 0.0000 0.5000
4 Si 0.5000 0.5000 0.0000
5 H 0.0000 0.0000 0.5000

Output
SG = No. 123
E_tot = -2.73 eV/atom


[5]
DFT (PBE) results for an optimized crystal structure of La6Pm2NdMg.

Lattice parameters (Å, degrees): 8.7708 8.7708 9.5887 95.84 95.84 104.73
Fractional positions:
1 La 0.0431 0.4659 0.6724
2 La 0.0632 0.8239 0.9014
3 La 0.1761 0.9368 0.5986
4 La 0.2378 0.5799 0.0805
5 La 0.4201 0.7622 0.4195
6 La 0.4659 0.0431 0.1724
7 La 0.5341 0.9569 0.8276
8 La 0.5799 0.2378 0.5805
9 La 0.7622 0.4201 0.9195
10 La 0.8239 0.0632 0.4014
11 La 0.9368 0.1761 0.0986
12 La 0.9569 0.5341 0.3276
13 Pm 0.2354 0.2992 0.4056
14 Pm 0.2992 0.2354 0.9056
15 Pm 0.7008 0.7646 0.0944
16 Pm 0.7646 0.7008 0.5944
17 Nd 0.4304 0.5696 0.7500
18 Nd 0.5696 0.4304 0.2500
19 Mg 0.0977 0.9023 0.2500
20 Mg 0.9023 0.0977 0.7500

Output
SG = No. 15
formation energy from the elements = 81 meV/atom


[6]
DFT (PBE) results for an optimized crystal structure of HOsPt3.

Lattice parameters (Å, degrees): 4.0044 4.0044 4.0044 90.00 90.00 90.00
Fractional positions:
1 H 0.0000 0.0000 0.0000
2 Os 0.5000 0.5000 0.5000
3 Pt 0.0000 0.0000 0.5000
4 Pt 0.0000 0.5000 0.0000
5 Pt 0.5000 0.0000 0.0000

Output
SG = No. 221
offset from the most stable computed form = 0.000 eV/atom


[7]
DFT (PBE) results for an optimized crystal structure of SrGe2Bi.

Lattice parameters (Å, degrees): 6.8088 6.8088 6.8088 103.64 103.64 121.88
Fractional positions:
1 Sr 0.0000 0.0000 0.0000
2 Sr 0.7500 0.2500 0.5000
3 Ge 0.1541 0.6250 0.0291
4 Ge 0.3750 0.4041 0.5291
5 Ge 0.5959 0.1250 0.9709
6 Ge 0.8750 0.8459 0.4709
7 Bi 0.2500 0.7500 0.5000
8 Bi 0.5000 0.5000 0.0000

Output
SG = No. 122
formation energy from the elements = -80 meV/atom


[8]
DFT (PBE) results for an optimized crystal structure of Pm2Er3Cd6.

Lattice parameters (Å, degrees): 14.2816 14.2816 14.2816 159.82 159.82 28.70
Fractional positions:
1 Pm 0.1360 0.1360 0.0000
2 Pm 0.8640 0.8640 0.0000
3 Er 0.3675 0.3675 0.0000
4 Er 0.5000 0.5000 0.0000
5 Er 0.6325 0.6325 0.0000
6 Cd 0.0631 0.5631 0.5000
7 Cd 0.2531 0.2531 0.0000
8 Cd 0.4369 0.9369 0.5000
9 Cd 0.5631 0.0631 0.5000
10 Cd 0.7469 0.7469 0.0000
11 Cd 0.9369 0.4369 0.5000

Output
SG = No. 139
formation energy from the elements = 97 meV/atom


[9]
DFT (PBE) results for an optimized crystal structure of CrFeOs2.

Lattice parameters (Å, degrees): 2.6198 2.6198 8.6606 90.00 90.00 114.91
Fractional positions:
1 Cr 0.0000 0.0000 0.0000
2 Fe 0.5000 0.5000 0.2333
3 Os 0.0000 0.0000 0.4819
4 Os 0.5000 0.5000 0.7589

Output
SG = No. 35
formation energy from the elements = 418 meV/atom


[10]
DFT (PBE) results for an optimized crystal structure of Al2TcPt.

Lattice parameters (Å, degrees): 5.0915 5.0915 5.0915 137.96 137.96 60.96
Fractional positions:
1 Al 0.0000 0.0000 0.0000
2 Al 0.7500 0.2500 0.5000
3 Tc 0.5000 0.5000 0.0000
4 Pt 0.2500 0.7500 0.5000

Output
SG = No. 119
formation energy from the elements = -528 meV/atom


[11]
DFT (PBE) results for an optimized crystal structure of BeReSiF2.

Lattice parameters (Å, degrees): 3.9695 3.9695 5.0410 90.00 90.00 90.00
Fractional positions:
1 Be 0.0000 0.0000 0.0000
2 Re 0.5000 0.5000 0.5000
3 Si 0.5000 0.5000 0.0000
4 F 0.0000 0.5000 0.5000
5 F 0.5000 0.0000 0.5000

Output
SG = No. 123
formation energy (no corrections) = -34 meV/atom


[12]
DFT (PBE) results for an optimized crystal structure of HfCS3.

Lattice parameters (Å, degrees): 4.1283 4.1283 4.1283 90.00 90.00 90.00
Fractional positions:
1 Hf 0.0000 0.0000 0.0000
2 C 0.5000 0.5000 0.5000
3 S 0.0000 0.5000 0.5000
4 S 0.5000 0.0000 0.5000
5 S 0.5000 0.5000 0.0000

Output
SG = No. 221
formation energy (no corrections) = 426 meV/atom
offset from the most stable computed form = 0.000 eV/atom


no.,DOS at the Fermi energy (states/eV/cell)
1,2.8
2,4.4
3,2.2
4,4.0
5,31.6
6,4.0
7,5.4
8,9.1
9,5.6
10,2.6
11,3.4
12,0.6